## Ho9Sb5CO4 (PBEsol)

Data for Ho9Sb5CO4 after structural relaxation.

Cell and atoms, written as POSCAR:
```
Ho9Sb5CO4
1.0
9.738 0.000 0.000
0.000 9.738 0.000
0.000 0.000 8.827
Ho Sb C O
18 10 2 8
direct
0.025 0.330 0.004 Ho
0.045 0.855 0.662 Ho
0.145 0.545 0.338 Ho
0.170 0.025 0.004 Ho
0.250 0.250 0.687 Ho
0.330 0.475 0.004 Ho
0.355 0.955 0.338 Ho
0.455 0.645 0.662 Ho
0.475 0.170 0.004 Ho
0.525 0.830 0.996 Ho
0.545 0.355 0.338 Ho
0.645 0.045 0.662 Ho
0.670 0.525 0.996 Ho
0.750 0.750 0.313 Ho
0.830 0.975 0.996 Ho
0.855 0.455 0.662 Ho
0.955 0.145 0.338 Ho
0.975 0.670 0.996 Ho
0.057 0.847 0.306 Sb
0.153 0.557 0.694 Sb
0.250 0.250 0.328 Sb
0.347 0.943 0.694 Sb
0.443 0.653 0.306 Sb
0.557 0.347 0.694 Sb
0.653 0.057 0.306 Sb
0.750 0.750 0.672 Sb
0.847 0.443 0.306 Sb
0.943 0.153 0.694 Sb
0.250 0.250 0.941 C
0.750 0.750 0.059 C
0.024 0.872 0.906 O
0.128 0.524 0.094 O
0.372 0.976 0.094 O
0.476 0.628 0.906 O
0.524 0.372 0.094 O
0.628 0.024 0.906 O
0.872 0.476 0.906 O
0.976 0.128 0.094 O
```

E_form (uncorrected)	-1957	meV per atom
symmetry	P4/n, No. 85



## Ho2OsC2 (PBEsol)

Data for Ho2OsC2 after structural relaxation.

Cell and atoms, written as POSCAR:
```
Ho2OsC2
1.0
6.369 0.000 0.000
0.000 5.037 0.000
0.000 0.000 9.637
Ho Os C
8 4 8
direct
0.027 0.250 0.219 Ho
0.182 0.250 0.552 Ho
0.318 0.750 0.052 Ho
0.473 0.750 0.719 Ho
0.527 0.250 0.281 Ho
0.682 0.250 0.948 Ho
0.818 0.750 0.448 Ho
0.973 0.750 0.781 Ho
0.222 0.250 0.867 Os
0.278 0.750 0.367 Os
0.722 0.250 0.633 Os
0.778 0.750 0.133 Os
0.041 0.750 0.242 C
0.172 0.750 0.556 C
0.328 0.250 0.056 C
0.459 0.250 0.742 C
0.541 0.750 0.258 C
0.672 0.750 0.944 C
0.828 0.250 0.444 C
0.959 0.250 0.758 C
```

symmetry	Pnma, No. 62
ΔH_f (0 K)	-210	kJ/mol of formula units



## HoSiOs2C (PBEsol)

Data for HoSiOs2C after structural relaxation.

Cell and atoms, written as POSCAR:
```
HoSiOs2C
1.0
1.910 -5.526 0.000
1.910 5.526 0.000
0.000 0.000 7.054
Ho Si Os C
2 2 4 2
direct
0.048 0.952 0.750 Ho
0.952 0.048 0.250 Ho
0.231 0.769 0.250 Si
0.769 0.231 0.750 Si
0.335 0.665 0.558 Os
0.335 0.665 0.942 Os
0.665 0.335 0.058 Os
0.665 0.335 0.442 Os
0.500 0.500 0.000 C
0.500 0.500 0.500 C
```

E_form (uncorrected)	-533	meV per atom
symmetry	Cmcm, No. 63



## HoPRu2C (PBEsol)

Data for HoPRu2C after structural relaxation.

Cell and atoms, written as POSCAR:
```
HoPRu2C
1.0
1.859 -5.466 0.000
1.859 5.466 0.000
0.000 0.000 6.972
Ho P Ru C
2 2 4 2
direct
0.044 0.956 0.750 Ho
0.956 0.044 0.250 Ho
0.231 0.769 0.250 P
0.769 0.231 0.750 P
0.334 0.666 0.554 Ru
0.334 0.666 0.946 Ru
0.666 0.334 0.054 Ru
0.666 0.334 0.446 Ru
0.500 0.500 0.000 C
0.500 0.500 0.500 C
```

symmetry	Cmcm, No. 63
ΔH_f (0 K)	-350	kJ/mol of formula units



## Ho3PbC (PBEsol)

Data for Ho3PbC after structural relaxation.

Cell and atoms, written as POSCAR:
```
Ho3PbC
1.0
4.820 0.000 0.000
0.000 4.820 0.000
0.000 0.000 4.820
Ho Pb C
3 1 1
direct
0.000 0.000 0.500 Ho
0.000 0.500 0.000 Ho
0.500 0.000 0.000 Ho
0.500 0.500 0.500 Pb
0.000 0.000 0.000 C
```

symmetry	Pm-3m, No. 221
ΔH_f (0 K)	-292	kJ/mol of formula units



## Ho2Re2Si2C (PBEsol)

Data for Ho2Re2Si2C after structural relaxation.

Cell and atoms, written as POSCAR:
```
Ho2Re2Si2C
1.0
5.395 -1.966 0.000
5.395 1.966 0.000
-4.109 0.000 5.453
Ho Re Si C
2 2 2 1
direct
0.072 0.072 0.298 Ho
0.928 0.928 0.702 Ho
0.292 0.292 0.908 Re
0.708 0.708 0.092 Re
0.360 0.360 0.324 Si
0.640 0.640 0.676 Si
0.500 0.500 0.000 C
```

E_form (uncorrected)	-662	meV per atom
symmetry	C2/m, No. 12



## Ho5Si3C (PBEsol)

Data for Ho5Si3C after structural relaxation.

Cell and atoms, written as POSCAR:
```
Ho5Si3C
1.0
8.333 0.000 0.000
-4.167 7.217 0.000
0.000 0.000 6.247
Ho Si C
10 6 2
direct
0.000 0.224 0.250 Ho
0.000 0.776 0.750 Ho
0.224 0.000 0.250 Ho
0.224 0.224 0.750 Ho
0.333 0.667 0.000 Ho
0.333 0.667 0.500 Ho
0.667 0.333 0.000 Ho
0.667 0.333 0.500 Ho
0.776 0.000 0.750 Ho
0.776 0.776 0.250 Ho
0.000 0.408 0.750 Si
0.000 0.592 0.250 Si
0.408 0.000 0.750 Si
0.408 0.408 0.250 Si
0.592 0.000 0.250 Si
0.592 0.592 0.750 Si
0.000 0.000 0.000 C
0.000 0.000 0.500 C
```

E_form (uncorrected)	-667	meV per atom
symmetry	P6_3/mcm, No. 193



## HoWC2 (PBEsol)

Data for HoWC2 after structural relaxation.

Cell and atoms, written as POSCAR:
```
HoWC2
1.0
5.653 0.000 0.000
0.000 3.330 0.000
0.000 0.000 10.683
Ho W C
4 4 8
direct
0.085 0.250 0.137 Ho
0.415 0.750 0.637 Ho
0.585 0.250 0.363 Ho
0.915 0.750 0.863 Ho
0.096 0.750 0.391 W
0.404 0.250 0.891 W
0.596 0.750 0.109 W
0.904 0.250 0.609 W
0.161 0.250 0.753 C
0.227 0.250 0.486 C
0.273 0.750 0.986 C
0.339 0.750 0.253 C
0.661 0.250 0.747 C
0.727 0.250 0.014 C
0.773 0.750 0.514 C
0.839 0.750 0.247 C
```

symmetry	Pnma, No. 62
ΔH_f (0 K)	-144	kJ/mol of formula units



## YHoC4 (PBEsol)

Data for YHoC4 after structural relaxation.

Cell and atoms, written as POSCAR:
```
YHoC4
1.0
2.550 -3.067 0.000
2.550 3.067 0.000
0.000 0.000 5.103
Y Ho C
1 1 4
direct
0.000 0.000 0.000 Y
0.500 0.500 0.500 Ho
0.106 0.894 0.500 C
0.394 0.606 0.000 C
0.606 0.394 0.000 C
0.894 0.106 0.500 C
```

symmetry	Cmmm, No. 65
ΔH_f (0 K)	-122	kJ/mol of formula units



## In2CI (PBEsol)

Data for In2CI after structural relaxation.

Cell and atoms, written as POSCAR:
```
In2CI
1.0
0.000 3.579 3.579
3.579 0.000 3.579
3.579 3.579 0.000
In C I
2 1 1
direct
0.250 0.250 0.250 In
0.750 0.750 0.750 In
0.000 0.000 0.000 C
0.500 0.500 0.500 I
```

E_form (uncorrected)	1468	meV per atom
symmetry	Fm-3m, No. 225